Entry from Alexandria: Cu2H2Br3 after structural relaxation (PBE).

Cell lengths 3.7928, 6.1544, 7.1322 Å; angles 70.25, 74.29, 94.36 degrees
Sites, in units of the cell vectors:
Cu1 0.1862 0.3528 0.0666
Cu2 0.8138 0.6472 0.9334
H1 0.1366 0.1629 0.6240
H2 0.8634 0.8371 0.3760
Br1 0.0000 0.0000 0.0000
Br2 0.3625 0.2954 0.3993
Br3 0.6375 0.7046 0.6007

Values from the calculation:
M_tot in Bohr magnetons per cell: 0.0
E in eV per atom: -2.71
Calculated density in g cm⁻³: 4.1